Entry 1:
DFT (PBE) results for a geometry-optimized BaIn4Hg3 structure.

The value obtained for the formation energy is -1.76 eV/f.u. As for the density of states at the Fermi level: 0.5807 states/eV/atom.

The space group is P4/mmm (No. 123) and the conventional cell measures 5.061, 5.061 and 9.208 Å, with angles of 90.00, 90.00 and 90.00 degrees. The distinct sites, in fractional coordinates, are Ba at (0.000, 0.000, 0.000), In at (0.000, 0.500, 0.322), Hg at (0.000, 0.000, 0.500) and Hg at (0.500, 0.500, 0.154).

Entry 2:
DFT (PBE) results for a geometry-optimized HfTi3Ga2N structure.

As for the density of states at the Fermi level: 0.9703 states/eV/atom. As for the formation energy (no corrections): -0.6463 eV/atom.

The space group is Immm (No. 71) and the conventional cell measures 4.002, 4.208 and 13.912 Å, with angles of 90.00, 90.00 and 90.00 degrees. The distinct sites, in fractional coordinates, are Hf at (0.000, 0.000, 0.000), Ti at (0.000, 0.000, 0.500), Ti at (0.000, 0.500, 0.157), Ga at (0.000, 0.500, 0.353) and N at (0.000, 0.500, 0.000).

Entry 3:
DFT (PBE) results for a geometry-optimized Pr2PbS structure.

As for the density of states at the Fermi level: 0.4597 states/eV/atom. As for the formation energy (no corrections): -1.2391 eV/atom. As for the excess energy over the best structure of this formula in the dataset: 0.000 eV/atom.

The space group is R-3m (No. 166, hexagonal axes) and the conventional cell measures 4.0748, 4.0748 and 24.2552 Å, with angles of 90.00, 90.00 and 120.00 degrees. The distinct sites, in fractional coordinates, are Pr at (0.0000, 0.0000, 0.2344), Pb at (0.0000, 0.0000, 0.0000) and S at (0.0000, 0.0000, 0.5000).

Entry 4:
DFT (PBE) results for a geometry-optimized Y12Cu6Ni structure.

The value obtained for the formation energy is 0.02 eV/f.u. As for the density of states at the Fermi level: 1.2367 states/eV/atom.

The space group is R-3 (No. 148, hexagonal axes) and the conventional cell measures 12.2397, 12.2397 and 11.8955 Å, with angles of 90.00, 90.00 and 120.00 degrees. The distinct sites, in fractional coordinates, are Y at (0.0247, 0.8247, 0.3902), Y at (0.0388, 0.8440, 0.8759), Cu at (0.0431, 0.7702, 0.6428) and Ni at (0.0000, 0.0000, 0.0000).

Entry 5:
DFT (PBE) results for a geometry-optimized AlCr2Mo structure.

The value obtained for the formation energy is 0.89 eV/f.u. As for the density of states at the Fermi level: 1.3037 states/eV/atom.

The space group is P4/mmm (No. 123) and the conventional cell measures 2.574, 2.574 and 8.259 Å, with angles of 90.00, 90.00 and 90.00 degrees. The distinct sites, in fractional coordinates, are Al at (0.000, 0.000, 0.000), Cr at (0.500, 0.500, 0.236) and Mo at (0.000, 0.000, 0.500).

Entry 6:
DFT (PBE) results for a geometry-optimized SbRh2F structure.

As for the density of states at the Fermi level: 0.6434 states/eV/atom. As for the formation energy (no corrections): -0.5060 eV/atom. As for the excess energy over the best structure of this formula in the dataset: 0.000 eV/atom.

The space group is Fm-3m (No. 225) and the conventional cell measures 6.189, 6.189 and 6.189 Å, with angles of 90.00, 90.00 and 90.00 degrees. The distinct sites, in fractional coordinates, are Sb at (0.000, 0.000, 0.000), Rh at (0.250, 0.250, 0.250) and F at (0.000, 0.000, 0.500).